[1]
# PBE LiFeRh, optimized geometry
data_LiFeRh
_cell_length_a 4.2160
_cell_length_b 8.7050
_cell_length_c 4.3438
_cell_angle_alpha 90.00
_cell_angle_beta 90.16
_cell_angle_gamma 90.00
_space_group_name_H-M_alt 'C 1 2/c 1'
_space_group_IT_number 15
_space_group_name_Hall '-C 2yc'
loop_
_atom_site_label
_atom_site_fract_x
_atom_site_fract_y
_atom_site_fract_z
Li1 0.0000 0.0777 0.2500
Fe1 0.0000 0.2586 0.7500
Rh1 0.0000 0.4027 0.2500
# Energy of formation in kJ/mol of formula units: -14
# E above lowest polymorph in meV per atom: 0
# Size of the total moment in μB per atom: 1.2294
# DFT total energy in eV for the cell shown: -71.51



[2]
# PBE LiFeRh2, optimized geometry
data_LiFeRh2
_cell_length_a 3.0788
_cell_length_b 3.0788
_cell_length_c 5.5432
_cell_angle_alpha 90.00
_cell_angle_beta 90.00
_cell_angle_gamma 90.00
_space_group_name_H-M_alt 'P 4 m m'
_space_group_IT_number 99
_space_group_name_Hall 'P 4 -2'
loop_
_atom_site_label
_atom_site_fract_x
_atom_site_fract_y
_atom_site_fract_z
Li1 0.0000 0.0000 0.0000
Fe1 0.5000 0.5000 0.7550
Rh1 0.0000 0.0000 0.5222
Rh2 0.5000 0.5000 0.2120
# Energy of formation in kJ/mol of formula units: 34
# E above lowest polymorph in meV per atom: 213
# Size of the total moment in μB per atom: 1.0221
# DFT total energy in eV for the cell shown: -24.73



[3]
# PBE LiFeRh3, optimized geometry
data_LiFeRh3
_cell_length_a 4.6920
_cell_length_b 4.3113
_cell_length_c 6.9951
_cell_angle_alpha 90.00
_cell_angle_beta 108.64
_cell_angle_gamma 90.00
_space_group_name_H-M_alt 'P 1 21/m 1'
_space_group_IT_number 11
_space_group_name_Hall '-P 2yb'
loop_
_atom_site_label
_atom_site_fract_x
_atom_site_fract_y
_atom_site_fract_z
Li1 0.1299 0.2500 0.0954
Fe1 0.2648 0.7500 0.7043
Rh1 0.0640 0.7500 0.3013
Rh2 0.3391 0.2500 0.4982
Rh3 0.4689 0.7500 0.1003
# Energy of formation in kJ/mol of formula units: -14
# E above lowest polymorph in meV per atom: 0
# Size of the total moment in μB per atom: 0.5759
# DFT total energy in eV for the cell shown: -65.16



[4]
# PBE LiFe2Rh, optimized geometry
data_LiFe2Rh
_cell_length_a 3.7406
_cell_length_b 3.7406
_cell_length_c 7.2760
_cell_angle_alpha 90.00
_cell_angle_beta 90.00
_cell_angle_gamma 90.00
_space_group_name_H-M_alt 'I 4/m m m'
_space_group_IT_number 139
_space_group_name_Hall '-I 4 2'
loop_
_atom_site_label
_atom_site_fract_x
_atom_site_fract_y
_atom_site_fract_z
Li1 0.0000 0.0000 0.0000
Fe1 0.0000 0.5000 0.2500
Rh1 0.0000 0.0000 0.5000
# Energy of formation in kJ/mol of formula units: 32
# Size of the total moment in μB per atom: 1.5829
# DFT total energy in eV for the cell shown: -51.72



[5]
# PBE LiFeRh6, optimized geometry
data_LiFeRh6
_cell_length_a 9.2153
_cell_length_b 4.4066
_cell_length_c 5.6686
_cell_angle_alpha 90.00
_cell_angle_beta 107.89
_cell_angle_gamma 90.00
_space_group_name_H-M_alt 'C 1 2/m 1'
_space_group_IT_number 12
_space_group_name_Hall '-C 2y'
loop_
_atom_site_label
_atom_site_fract_x
_atom_site_fract_y
_atom_site_fract_z
Li1 0.0000 0.0000 0.0000
Fe1 0.0000 0.0000 0.5000
Rh1 0.0008 0.5000 0.2496
Rh2 0.2312 0.0000 0.3629
Rh3 0.2311 0.0000 0.8684
# Energy of formation in kJ/mol of formula units: 44
# Size of the total moment in μB per atom: 0.6638
# DFT total energy in eV for the cell shown: -108.05



[6]
# PBE LiFeRh, optimized geometry
data_LiFeRh
_cell_length_a 8.7351
_cell_length_b 2.6648
_cell_length_c 7.1415
_cell_angle_alpha 90.00
_cell_angle_beta 113.62
_cell_angle_gamma 90.00
_space_group_name_H-M_alt 'C 1 m 1'
_space_group_IT_number 8
_space_group_name_Hall 'C -2y'
loop_
_atom_site_label
_atom_site_fract_x
_atom_site_fract_y
_atom_site_fract_z
Li1 0.0000 0.0000 0.0000
Li2 0.1469 0.5000 0.3383
Fe1 0.3310 0.0000 0.6575
Fe2 0.4741 0.5000 0.5140
Rh1 0.1722 0.5000 0.8173
Rh2 0.3305 0.0000 0.1870
# Energy of formation in kJ/mol of formula units: 15
# E above lowest polymorph in meV per atom: 103
# Size of the total moment in μB per atom: 0.4000
# DFT total energy in eV for the cell shown: -70.27



[7]
# PBE LiFeRh3, optimized geometry
data_LiFeRh3
_cell_length_a 4.0450
_cell_length_b 4.0450
_cell_length_c 4.0450
_cell_angle_alpha 90.00
_cell_angle_beta 90.00
_cell_angle_gamma 90.00
_space_group_name_H-M_alt 'P m -3 m'
_space_group_IT_number 221
_space_group_name_Hall '-P 4 2 3'
loop_
_atom_site_label
_atom_site_fract_x
_atom_site_fract_y
_atom_site_fract_z
Li1 0.0000 0.0000 0.0000
Fe1 0.5000 0.5000 0.5000
Rh1 0.0000 0.0000 0.5000
# Energy of formation in kJ/mol of formula units: 449
# E above lowest polymorph in meV per atom: 960
# Size of the total moment in μB per atom: 0.0155
# DFT total energy in eV for the cell shown: -27.78



[8]
# PBE LiFe2Rh, optimized geometry
data_LiFe2Rh
_cell_length_a 2.8188
_cell_length_b 4.3657
_cell_length_c 8.5415
_cell_angle_alpha 90.00
_cell_angle_beta 90.00
_cell_angle_gamma 90.00
_space_group_name_H-M_alt 'C m m 2'
_space_group_IT_number 35
_space_group_name_Hall 'C 2 -2'
loop_
_atom_site_label
_atom_site_fract_x
_atom_site_fract_y
_atom_site_fract_z
Li1 0.0000 0.0000 0.0000
Fe1 0.0000 0.0000 0.4956
Fe2 0.0000 0.5000 0.2656
Rh1 0.0000 0.5000 0.7454
# Energy of formation in kJ/mol of formula units: 28
# Size of the total moment in μB per atom: 1.4746
# DFT total energy in eV for the cell shown: -51.81



[9]
# PBE LiFe2Rh, optimized geometry
data_LiFe2Rh
_cell_length_a 2.6435
_cell_length_b 2.6435
_cell_length_c 26.7722
_cell_angle_alpha 90.00
_cell_angle_beta 90.00
_cell_angle_gamma 120.00
_space_group_name_H-M_alt 'R -3 m'
_space_group_IT_number 166
_space_group_name_Hall '-R 3 2"'
loop_
_atom_site_label
_atom_site_fract_x
_atom_site_fract_y
_atom_site_fract_z
Li1 0.0000 0.0000 0.0000
Fe1 0.0000 0.0000 0.2480
Rh1 0.0000 0.0000 0.5000
# Energy of formation in kJ/mol of formula units: 64
# Size of the total moment in μB per atom: 1.5826
# DFT total energy in eV for the cell shown: -76.59



[10]
# PBE LiFeRh, optimized geometry
data_LiFeRh
_cell_length_a 2.6833
_cell_length_b 3.7843
_cell_length_c 7.6656
_cell_angle_alpha 90.00
_cell_angle_beta 90.00
_cell_angle_gamma 90.00
_space_group_name_H-M_alt 'I m m 2'
_space_group_IT_number 44
_space_group_name_Hall 'I 2 -2'
loop_
_atom_site_label
_atom_site_fract_x
_atom_site_fract_y
_atom_site_fract_z
Li1 0.0000 0.0000 0.0000
Fe1 0.0000 0.0000 0.3282
Rh1 0.0000 0.0000 0.6674
# Energy of formation in kJ/mol of formula units: 6
# E above lowest polymorph in meV per atom: 70
# Size of the total moment in μB per atom: 1.1525
# DFT total energy in eV for the cell shown: -35.33



[11]
# PBE Li2FeRh6, optimized geometry
data_Li2FeRh6
_cell_length_a 4.6078
_cell_length_b 7.9442
_cell_length_c 6.6808
_cell_angle_alpha 90.00
_cell_angle_beta 90.00
_cell_angle_gamma 90.00
_space_group_name_H-M_alt 'C 2 2 2'
_space_group_IT_number 21
_space_group_name_Hall 'C 2 2'
loop_
_atom_site_label
_atom_site_fract_x
_atom_site_fract_y
_atom_site_fract_z
Li1 0.2500 0.2500 0.1699
Fe1 0.0000 0.0000 0.5000
Rh1 0.0000 0.3284 0.5000
Rh2 0.2418 0.0841 0.8334
# Energy of formation in kJ/mol of formula units: 53
# Size of the total moment in μB per atom: 0.3237
# DFT total energy in eV for the cell shown: -111.71



[12]
# PBE LiFeRh2, optimized geometry
data_LiFeRh2
_cell_length_a 2.7207
_cell_length_b 4.5393
_cell_length_c 8.9687
_cell_angle_alpha 90.00
_cell_angle_beta 90.00
_cell_angle_gamma 90.00
_space_group_name_H-M_alt 'C m m 2'
_space_group_IT_number 35
_space_group_name_Hall 'C 2 -2'
loop_
_atom_site_label
_atom_site_fract_x
_atom_site_fract_y
_atom_site_fract_z
Li1 0.0000 0.0000 0.0000
Fe1 0.0000 0.5000 0.2561
Rh1 0.0000 0.0000 0.4928
Rh2 0.0000 0.5000 0.7566
# Energy of formation in kJ/mol of formula units: 57
# E above lowest polymorph in meV per atom: 273
# Size of the total moment in μB per atom: 0.6167
# DFT total energy in eV for the cell shown: -48.98



[13]
# PBE LiFeRh2, optimized geometry
data_LiFeRh2
_cell_length_a 3.6241
_cell_length_b 3.6241
_cell_length_c 7.8989
_cell_angle_alpha 90.00
_cell_angle_beta 90.00
_cell_angle_gamma 90.00
_space_group_name_H-M_alt 'I -4 m 2'
_space_group_IT_number 119
_space_group_name_Hall 'I -4 -2'
loop_
_atom_site_label
_atom_site_fract_x
_atom_site_fract_y
_atom_site_fract_z
Li1 0.0000 0.0000 0.0000
Fe1 0.0000 0.5000 0.2500
Rh1 0.0000 0.0000 0.5000
Rh2 0.0000 0.5000 0.7500
# Energy of formation in kJ/mol of formula units: -8
# E above lowest polymorph in meV per atom: 105
# Size of the total moment in μB per atom: 0.6868
# DFT total energy in eV for the cell shown: -50.32



[14]
# PBE Li4FeRh, optimized geometry
data_Li4FeRh
_cell_length_a 6.7072
_cell_length_b 6.7072
_cell_length_c 6.7072
_cell_angle_alpha 90.00
_cell_angle_beta 90.00
_cell_angle_gamma 90.00
_space_group_name_H-M_alt 'F -4 3 m'
_space_group_IT_number 216
_space_group_name_Hall 'F -4 2 3'
loop_
_atom_site_label
_atom_site_fract_x
_atom_site_fract_y
_atom_site_fract_z
Li1 0.1240 0.1240 0.1240
Fe1 0.0000 0.0000 0.5000
Rh1 0.2500 0.2500 0.7500
# Energy of formation in kJ/mol of formula units: 116
# Size of the total moment in μB per atom: 0.5015
# DFT total energy in eV for the cell shown: -89.05